DFT (SCAN) results for a crystal of CsSeO2 relaxed with PBEsol.

abc: 5.544 5.544 6.860
angles: 113.83 113.83 90.00
Sites, in units of the cell vectors:
Cs 0.250 0.750 0.500
Cs 0.000 0.000 0.000
O 0.699 0.375 0.250
O 0.551 0.875 0.250
O 0.625 0.449 0.750
O 0.125 0.301 0.750
Se 0.750 0.250 0.500
Se 0.500 0.500 0.000

The calculation puts the density at 4.68 g/cm3. As for the space group: I-42d. The calculation puts the total energy at -146.46 eV/cell. The calculation puts the density of states at the Fermi level at 3.21 states/eV/cell. The calculation puts the uncorrected formation energy at -719 meV/atom.



DFT (SCAN) results for a crystal of Cs2SeO4 relaxed with PBEsol.

abc: 6.391 8.342 11.206
angles: 90.00 90.00 90.00
Sites, in units of the cell vectors:
Cs 0.250 0.827 0.089
Cs 0.250 0.010 0.703
Cs 0.750 0.990 0.297
Cs 0.750 0.490 0.203
Cs 0.250 0.510 0.797
Cs 0.750 0.173 0.911
Cs 0.250 0.327 0.411
Cs 0.750 0.673 0.589
Se 0.750 0.734 0.920
Se 0.250 0.266 0.080
Se 0.250 0.766 0.420
Se 0.750 0.234 0.580
O 0.250 0.466 0.083
O 0.536 0.302 0.650
O 0.964 0.802 0.850
O 0.750 0.302 0.440
O 0.250 0.966 0.417
O 0.464 0.198 0.150
O 0.036 0.198 0.150
O 0.036 0.698 0.350
O 0.250 0.698 0.560
O 0.536 0.802 0.850
O 0.964 0.302 0.650
O 0.750 0.802 0.060
O 0.750 0.034 0.583
O 0.250 0.198 0.940
O 0.464 0.698 0.350
O 0.750 0.534 0.917

The calculation puts the density at 4.54 g/cm3. As for the space group: Pnma. The calculation puts the total energy at -527.05 eV/cell. The calculation puts the density of states at the Fermi level at 0.00 states/eV/cell. The calculation puts the uncorrected formation energy at -1591 meV/atom.



DFT (SCAN) results for a crystal of Cs6Si2O7 relaxed with PBEsol.

abc: 7.085 9.494 9.568
angles: 90.00 89.50 90.00
Sites, in units of the cell vectors:
Cs 0.888 0.775 0.227
Cs 0.612 0.275 0.273
Cs 0.112 0.225 0.773
Cs 0.388 0.725 0.727
Cs 0.249 0.474 0.045
Cs 0.251 0.974 0.455
Cs 0.751 0.526 0.955
Cs 0.749 0.026 0.545
Cs 0.113 0.354 0.405
Cs 0.387 0.854 0.095
Cs 0.887 0.646 0.595
Cs 0.613 0.146 0.905
O 0.000 0.000 0.000
O 0.500 0.500 0.500
O 0.951 0.076 0.270
O 0.549 0.576 0.230
O 0.049 0.924 0.730
O 0.451 0.424 0.770
O 0.271 0.153 0.129
O 0.229 0.653 0.371
O 0.729 0.847 0.871
O 0.771 0.347 0.629
O 0.567 0.771 0.436
O 0.933 0.271 0.064
O 0.433 0.229 0.564
O 0.067 0.729 0.936
Si 0.041 0.129 0.120
Si 0.459 0.629 0.380
Si 0.959 0.871 0.880
Si 0.541 0.371 0.620

The calculation puts the density at 4.98 g/cm3. As for the space group: P2_1/c. The calculation puts the total energy at -650.73 eV/cell. The calculation puts the density of states at the Fermi level at 0.00 states/eV/cell. The calculation puts the uncorrected formation energy at -2324 meV/atom.



DFT (SCAN) results for a crystal of Cs2Si2O5 relaxed with PBEsol.

abc: 8.678 10.069 15.468
angles: 89.70 90.00 90.00
Sites, in units of the cell vectors:
Cs 0.865 0.590 0.589
Cs 0.902 0.155 0.583
Cs 0.131 0.159 0.086
Cs 0.402 0.345 0.917
Cs 0.098 0.845 0.417
Cs 0.120 0.591 0.090
Cs 0.598 0.655 0.083
Cs 0.880 0.409 0.910
Cs 0.631 0.341 0.414
Cs 0.635 0.090 0.089
Cs 0.135 0.410 0.411
Cs 0.365 0.910 0.911
Cs 0.380 0.091 0.590
Cs 0.620 0.909 0.410
Cs 0.369 0.659 0.586
Cs 0.869 0.841 0.914
Si 0.559 0.637 0.803
Si 0.059 0.863 0.697
Si 0.423 0.621 0.305
Si 0.318 0.117 0.308
Si 0.923 0.879 0.195
Si 0.301 0.866 0.195
Si 0.577 0.379 0.695
Si 0.199 0.366 0.695
Si 0.941 0.137 0.303
Si 0.441 0.363 0.197
Si 0.699 0.134 0.805
Si 0.682 0.883 0.692
Si 0.801 0.634 0.305
Si 0.818 0.383 0.192
Si 0.182 0.617 0.808
Si 0.077 0.121 0.805
O 0.873 0.108 0.397
O 0.145 0.215 0.726
O 0.355 0.715 0.226
O 0.855 0.785 0.274
O 0.117 0.642 0.903
O 0.627 0.608 0.897
O 0.870 0.862 0.700
O 0.355 0.964 0.275
O 0.111 0.861 0.200
O 0.370 0.638 0.800
O 0.145 0.464 0.775
O 0.148 0.149 0.898
O 0.645 0.036 0.725
O 0.386 0.467 0.274
O 0.373 0.392 0.103
O 0.852 0.851 0.102
O 0.130 0.138 0.300
O 0.389 0.361 0.700
O 0.630 0.362 0.200
O 0.883 0.358 0.097
O 0.611 0.639 0.300
O 0.392 0.213 0.232
O 0.648 0.351 0.602
O 0.614 0.533 0.726
O 0.617 0.858 0.597
O 0.645 0.285 0.774
O 0.608 0.787 0.768
O 0.634 0.098 0.897
O 0.108 0.713 0.732
O 0.889 0.139 0.800
O 0.127 0.892 0.603
O 0.855 0.536 0.225
O 0.366 0.902 0.103
O 0.892 0.287 0.268
O 0.383 0.142 0.403
O 0.352 0.649 0.398
O 0.114 0.967 0.774
O 0.886 0.033 0.226
O 0.866 0.598 0.397
O 0.134 0.402 0.603

The calculation puts the density at 3.95 g/cm3. As for the space group: P2_1/c. The calculation puts the total energy at -1213.06 eV/cell. The calculation puts the density of states at the Fermi level at 0.00 states/eV/cell. The calculation puts the uncorrected formation energy at -2758 meV/atom.



DFT (SCAN) results for a crystal of CsSiO2 relaxed with PBEsol.

abc: 4.082 4.082 7.225
angles: 73.59 73.59 60.00
Sites, in units of the cell vectors:
Cs 0.500 0.500 0.500
Si 0.000 0.000 0.000
O 0.924 0.924 0.229
O 0.076 0.076 0.771

The calculation puts the density at 3.25 g/cm3. As for the space group: R-3m. The calculation puts the total energy at -66.54 eV/cell. The calculation puts the density of states at the Fermi level at 0.87 states/eV/cell. The calculation puts the uncorrected formation energy at -1563 meV/atom.



DFT (SCAN) results for a crystal of CsSi3O relaxed with PBEsol.

abc: 5.532 5.532 5.532
angles: 90.00 90.00 90.00
Sites, in units of the cell vectors:
Cs 0.000 0.000 0.000
Si 0.000 0.500 0.000
Si 0.000 0.000 0.500
Si 0.500 0.000 0.000
O 0.500 0.500 0.500

The calculation puts the density at 2.29 g/cm3. As for the space group: Pm-3m. The calculation puts the total energy at -59.43 eV/cell. The calculation puts the density of states at the Fermi level at 3.94 states/eV/cell. The calculation puts the uncorrected formation energy at 2932 meV/atom.